(1)
# Ti2NiIr2 (GGA-PBE, relaxed)
data_Ti2NiIr2
_chemical_formula_sum 'Ti4 Ni2 Ir4'
_space_group_name_H-M_alt 'P 4/m b m'
_space_group_IT_number 127
_space_group_name_Hall '-P 4 2ab'
_cell_length_a 7.256
_cell_length_b 7.256
_cell_length_c 2.930
_cell_angle_alpha 90.00
_cell_angle_beta 90.00
_cell_angle_gamma 90.00
loop_
_atom_site_label
_atom_site_type_symbol
_atom_site_fract_x
_atom_site_fract_y
_atom_site_fract_z
Ti1 Ti 0.161 0.339 0.000
Ni1 Ni 0.000 0.000 0.500
Ir1 Ir 0.139 0.639 0.500
# **ΔE_f**: -497 meV per atom
# **D(E_F)**: 3.490 states/eV/f.u.
# **ρ**: 11603 kg/m3



(2)
# V2PdC (GGA-PBE, relaxed)
data_V2PdC
_chemical_formula_sum 'V6 Pd3 C3'
_space_group_name_H-M_alt 'R 3 m'
_space_group_IT_number 160
_space_group_name_Hall 'R 3 -2"'
_cell_length_a 2.9079
_cell_length_b 2.9079
_cell_length_c 19.6725
_cell_angle_alpha 90.00
_cell_angle_beta 90.00
_cell_angle_gamma 120.00
loop_
_atom_site_label
_atom_site_type_symbol
_atom_site_fract_x
_atom_site_fract_y
_atom_site_fract_z
V1 V 0.0000 0.0000 0.0000
V2 V 0.0000 0.0000 0.2206
Pd1 Pd 0.0000 0.0000 0.7778
C1 C 0.0000 0.0000 0.6104
# **ΔE_f**: -420 meV per atom
# **D(E_F)**: 3.573 states/eV/f.u.
# **ρ**: 7619 kg/m3